Entry 1:
4
Lattice="-4.946 1.722 1.833 -5.252 -1.765 0.306 0.381 -2.332 5.252" Properties=species:S:1:pos:R:3 comment="PBE-GGA LaAlBr2, optimized geometry" e_above_lowest_polymorph_ev_per_atom=0.000 energy_ev_per_atom=-3.9144 raw_formation_energy_ev_per_atom=-0.9105 pbc="T T T"
Al -2.454 -0.594 1.848
Br -0.017 -2.292 5.241
Br -4.510 -1.228 3.707
La -7.363 -1.781 5.543

=====

Entry 2:
9
Lattice="-1.790 -2.395 -2.423 0.076 -6.153 2.970 -10.554 -0.963 5.693" Properties=species:S:1:pos:R:3 comment="PBE-GGA Nd6HoIn2, optimized geometry" e_form_ev_per_atom=-0.197 e_above_lowest_polymorph_ev_per_atom=0.000 energy_ev_per_atom=-4.4931 pbc="T T T"
Nd -2.475 -4.922 0.581
Nd -9.793 -4.589 5.659
Nd -6.734 -6.193 4.984
Nd -5.284 -6.973 1.629
Nd -6.983 -2.537 4.611
Nd -5.533 -3.318 1.256
Ho 0.000 0.000 0.000
In -2.693 -1.577 0.493
In -9.574 -7.933 5.747

=====

Entry 3:
12
Lattice="3.924 0.000 0.000 -1.962 5.964 -2.777 0.000 0.513 9.339" Properties=species:S:1:pos:R:3 comment="PBE-GGA Pa2SbO3, optimized geometry" energy_ev_per_atom=-9.0116 raw_formation_energy_ev_per_atom=-2.6801 pbc="T T T"
Pa 0.000 6.268 4.467
Pa 1.962 0.209 2.095
Pa 1.962 4.239 1.929
Pa 0.000 2.238 4.633
Sb 1.962 5.024 6.695
Sb 0.000 1.453 -0.133
O 0.000 4.203 3.450
O 1.962 6.133 3.239
O 1.962 2.017 5.823
O 0.000 4.460 0.739
O 0.000 0.344 3.322
O 1.962 2.274 3.112

=====

Entry 4:
12
Lattice="0.369 0.316 -4.463 -6.592 -0.943 2.544 -0.626 5.229 0.318" Properties=species:S:1:pos:R:3 comment="PBE-GGA MnAsH, optimized geometry" e_above_lowest_polymorph_ev_per_atom=0.000 energy_ev_per_atom=-5.7384 pbc="T T T"
H -4.280 0.058 1.614
H -2.597 3.083 -1.062
H -2.569 4.543 -3.215
H -4.251 1.518 -0.538
As -1.223 0.427 -1.143
As -5.616 2.391 1.675
As -5.625 4.174 -0.457
As -1.233 2.210 -3.276
Mn -3.268 0.281 0.185
Mn -3.612 2.890 0.368
Mn -3.580 4.320 -1.786
Mn -3.236 1.711 -1.969

=====

Entry 5:
4
Lattice="5.510 0.000 0.000 0.000 4.362 0.000 0.000 0.000 4.362" Properties=species:S:1:pos:R:3 comment="PBE-GGA ZrTe2Br, optimized geometry" e_above_lowest_polymorph_ev_per_atom=0.699 energy_ev_per_atom=-4.1659 raw_formation_energy_ev_per_atom=-0.0398 pbc="T T T"
Te 0.000 0.000 0.000
Te 0.000 2.181 2.181
Br 2.755 0.000 2.181
Zr 2.755 2.181 0.000

=====

Entry 6:
5
Lattice="-3.771 -3.833 1.462 3.986 -3.893 0.076 0.883 0.999 4.897" Properties=species:S:1:pos:R:3 comment="PBE-GGA KHg2AsAu, optimized geometry" e_form_ev_per_atom=-0.066 e_above_lowest_polymorph_ev_per_atom=0.000 energy_ev_per_atom=-1.9919 pbc="T T T"
K 0.549 -3.364 3.217
As 0.000 0.000 0.000
Au 0.441 0.499 2.448
Hg 1.993 -1.946 0.038
Hg -1.885 -1.917 0.731

=====

Entry 7:
4
Lattice="5.097 -0.061 0.000 -2.011 4.684 0.000 0.000 0.000 2.896" Properties=species:S:1:pos:R:3 comment="PBE-GGA LiZn2Cd, optimized geometry" e_form_ev_per_atom=-0.055 energy_ev_per_atom=-1.3988 pbc="T T T"
Cd 2.548 -0.031 1.448
Li -1.005 2.342 1.448
Zn 0.000 0.000 0.000
Zn 1.543 2.311 0.000

=====

Entry 8:
12
Lattice="4.947 0.000 0.000 -2.474 4.284 0.000 0.000 0.000 12.075" Properties=species:S:1:pos:R:3 comment="PBE-GGA Er2MgAu3, optimized geometry" e_form_ev_per_atom=-0.814 e_above_lowest_polymorph_ev_per_atom=0.000 energy_ev_per_atom=-4.2398 pbc="T T T"
Er 0.000 0.000 6.038
Er 0.000 2.856 2.158
Er 2.474 1.428 9.917
Er 0.000 0.000 0.000
Mg 0.000 2.856 8.029
Mg 2.474 1.428 4.046
Au 0.000 2.856 5.112
Au 2.474 1.428 0.971
Au 0.000 0.000 9.044
Au 0.000 0.000 3.031
Au 0.000 2.856 11.105
Au 2.474 1.428 6.963